Entry 1:
Entry from the Open Quantum Materials Database: a geometry-optimized Dy6NiGe2 structure (PBE).

extended XYZ file:
```
9
Lattice="8.0643 0.0000 0.0000 -4.0322 6.9839 0.0000 0.0000 0.0000 3.9748" Properties=species:S:1:pos:R:3 pbc="T T T"
Dy 4.7444 0.0000 1.9874
Dy 1.6600 2.8751 1.9874
Dy 3.0373 5.2607 0.0000
Dy -0.9949 1.7232 0.0000
Dy 1.9898 0.0000 0.0000
Dy -2.3722 4.1088 1.9874
Ge 0.0000 4.6559 0.0000
Ge 4.0322 2.3280 0.0000
Ni 0.0000 0.0000 1.9874
```

Calculated values
Its space group is P-62m. The value obtained for the calculated total energy is -5.20 eV/atom.

=====

Entry 2:
Entry from the Open Quantum Materials Database: a geometry-optimized DyNi2Ge structure (PBE).

extended XYZ file:
```
8
Lattice="4.0385 0.0000 0.0000 0.0000 5.8540 0.0000 0.0000 0.0000 5.4590" Properties=species:S:1:pos:R:3 pbc="T T T"
Ni 2.0192 1.6468 0.7153
Ni 2.0192 3.7613 2.0581
Ni 0.0000 2.0928 4.7876
Ni 0.0000 4.2072 3.4448
Ge 2.0192 3.5811 4.6727
Ge 0.0000 2.2730 1.9432
Dy 0.0000 5.3126 0.7423
Dy 2.0192 0.5415 3.4718
```

Calculated values
Its space group is Pmn2_1. The value obtained for the calculated total energy is -5.64 eV/atom.

=====

Entry 3:
Entry from the Open Quantum Materials Database: a geometry-optimized DyNi6Ge4 structure (PBE).

extended XYZ file:
```
11
Lattice="-2.7891 5.4082 3.0801 -1.3774 -1.2767 -6.5565 -2.9541 -2.1110 1.0317" Properties=species:S:1:pos:R:3 pbc="T T T"
Dy 0.0000 0.0000 0.0000
Ge -4.5802 2.5285 -1.0363
Ge -1.8480 0.9516 -3.3443
Ge -2.8111 0.7742 0.4398
Ge -3.9954 3.0705 1.7476
Ni -3.1443 -0.9598 -4.0623
Ni -2.1354 2.3128 -1.3821
Ni -1.5994 2.8096 1.1693
Ni -4.2156 1.1175 -2.8792
Ni -3.2208 4.4173 -0.1835
Ni -2.6152 -0.4694 -1.5439
```

Calculated values
Its space group is P-6m2. The value obtained for the calculated total energy is -5.64 eV/atom.

=====

Entry 4:
Entry from the Open Quantum Materials Database: a geometry-optimized Dy6Ni2Ge structure (PBE).

extended XYZ file:
```
9
Lattice="-1.4386 3.3308 -6.5013 -5.3622 -3.7918 3.5070 -1.2193 3.7515 2.1918" Properties=species:S:1:pos:R:3 pbc="T T T"
Ni -4.6640 0.4581 1.2668
Ni -3.3562 2.8323 -2.0693
Dy -1.0035 2.7876 -0.6841
Dy -5.5486 1.5409 -1.0786
Dy -0.8591 1.9891 -3.8824
Dy -2.7395 -0.1857 -1.2062
Dy -2.0778 0.8376 2.0561
Dy -3.2022 -2.2644 2.0943
Ge 0.0000 0.0000 0.0000
```

Calculated values
Its space group is P-62m. The value obtained for the calculated total energy is -5.14 eV/atom.

=====

Entry 5:
Entry from the Open Quantum Materials Database: a geometry-optimized Dy4Ni2Ge4Pb structure (PBE).

extended XYZ file:
```
11
Lattice="7.8459 -2.1220 0.0000 7.8459 2.1220 0.0000 -2.3411 0.0000 6.7668" Properties=species:S:1:pos:R:3 pbc="T T T"
Dy 8.1167 0.0000 6.3388
Dy 8.3751 0.0000 2.6407
Dy 5.2340 0.0000 0.4280
Dy 4.9756 0.0000 4.1261
Ni 11.4494 0.0000 2.4402
Ni 1.9013 0.0000 4.3266
Ge 10.7384 0.0000 4.9007
Ge 13.8364 0.0000 2.3210
Ge -0.4857 0.0000 4.4458
Ge 2.6123 0.0000 1.8661
Pb 0.0000 0.0000 0.0000
```

Calculated values
Its space group is C2/m. The value obtained for the calculated total energy is -5.45 eV/atom.

=====

Entry 6:
Entry from the Open Quantum Materials Database: a geometry-optimized DySiNi2Ge structure (PBE).

extended XYZ file:
```
5
Lattice="-2.0088 2.0088 4.8289 2.0088 -2.0088 4.8289 2.0088 2.0088 -4.8289" Properties=species:S:1:pos:R:3 pbc="T T T"
Si 0.0000 0.0000 6.0947
Ge 0.0000 0.0000 3.6378
Dy 0.0000 0.0000 0.0126
Ni 0.0000 2.0088 2.3707
Ni 2.0088 0.0000 2.3707
```

Calculated values
Its space group is I4mm. The value obtained for the calculated total energy is -5.94 eV/atom.

=====

> Which value of calculated total energy does entry 4 give?

-5.14 eV/atom